(1)
Density functional theory data (GGA-PBE) for a relaxed Pm4Pr3YS8 crystal.

Properties
- uncorrected formation energy (eV per atom) = -2.02
- calculated total energy (eV per cell) = -315.25

Unit cell a=8.1019 b=8.1019 c=19.8144 alpha=90.00 beta=90.00 gamma=120.00
Space group R-3m (No. 166, hexagonal axes)
Inequivalent atoms, fractional coordinates:
Pm  0.0000  0.0000  0.0000 x3
Pm  0.0000  0.5000  0.0000 x9
Pr  0.0000  0.5000  0.5000 x9
Y  0.0000  0.0000  0.5000 x3
S  0.0000  0.0000  0.2523 x6
S  0.0085  0.5043  0.2501 x18


(2)
Density functional theory data (GGA-PBE) for a relaxed Pm3Pr2YS6 crystal.

Properties
- uncorrected formation energy (eV per atom) = -2.02
- calculated total energy (eV per cell) = -158.66

Unit cell a=6.9915 b=12.1438 c=6.9849 alpha=90.00 beta=109.53 gamma=90.00
Space group C2/m (No. 12)
Inequivalent atoms, fractional coordinates:
Pm  0.0000  0.0000  0.0000 x2
Pm  0.0000  0.3291  0.0000 x4
Pr  0.0000  0.1669  0.5000 x4
Y  0.0000  0.5000  0.5000 x2
S  0.2389  0.5000  0.2472 x4
S  0.2446  0.3382  0.7491 x8


| no. | total moment (μB per atom) |
| --- | --- |
| 1 | 0.00 |
| 2 | 0.00 |